No. 1
VASP calculation (PBE-GGA) on a relaxed structure of CaMnRh.

Output
- DFT total energy (eV/atom) = -5.091

Cell lengths 5.055, 5.055, 8.751 Å; angles 90.00, 90.00, 120.00 degrees
Fractional positions:
Ca 0.333 0.667 0.250
Ca 0.667 0.333 0.750
Mn 0.000 0.000 0.250
Mn 0.000 0.000 0.750
Rh 0.000 0.000 0.000
Rh 0.000 0.000 0.500

No. 2
VASP calculation (PBE-GGA) on a relaxed structure of CaMnRh.

Output
- DFT total energy (eV/atom) = -6.090

Cell lengths 5.658, 5.658, 6.631 Å; angles 106.30, 106.30, 32.65 degrees
Fractional positions:
Ca 0.016 0.016 0.265
Ca 0.984 0.984 0.735
Mn 0.289 0.289 0.940
Mn 0.711 0.711 0.060
Rh 0.294 0.294 0.361
Rh 0.706 0.706 0.639

No. 3
VASP calculation (PBE-GGA) on a relaxed structure of CaSc2MnRh.

Output
- DFT total energy (eV/atom) = -4.543

Cell lengths 4.960, 4.960, 4.564 Å; angles 90.00, 90.00, 90.00 degrees
Fractional positions:
Ca 0.000 0.000 0.000
Sc 0.000 0.500 0.000
Sc 0.500 0.000 0.000
Mn 0.500 0.500 0.500
Rh 0.000 0.000 0.500